[1]
Crystalline K2CeInBr6 at its relaxed geometry. Source: Alexandria via LeMat-Bulk, functional GGA-PBE.

Unit cell a=7.9246 b=8.5398 c=13.8188 alpha=90.00 beta=123.51 gamma=90.00
Closest atoms and distances in Å follow each position.
Fractional coordinates of all 20 atoms:
K: 0.2107 0.0846 0.2447  6 Br 3.36-3.63
K: 0.2107 0.4154 0.7447  6 Br 3.36-3.63
K: 0.7893 0.5846 0.2553  6 Br 3.36-3.63
K: 0.7893 0.9154 0.7553  6 Br 3.36-3.63
Ce: 0.5000 0.0000 0.0000  6 Br 2.92-2.94
Ce: 0.5000 0.5000 0.5000  6 Br 2.92-2.94
In: 0.0000 0.0000 0.5000  6 Br 3.25-3.32
In: 0.0000 0.5000 0.0000  6 Br 3.25-3.32
Br: 0.1382 0.1777 0.9369  1 Ce 2.92, 1 In 3.25
Br: 0.1382 0.3223 0.4369  1 Ce 2.92, 1 In 3.25
Br: 0.2567 0.7122 0.9233  1 Ce 2.94
Br: 0.2567 0.7878 0.4233  1 Ce 2.94
Br: 0.4045 0.0574 0.7657  1 Ce 2.93
Br: 0.4045 0.4426 0.2657  1 Ce 2.93
Br: 0.5955 0.5574 0.7343  1 Ce 2.93
Br: 0.5955 0.9426 0.2343  1 Ce 2.93
Br: 0.7433 0.2122 0.5767  1 Ce 2.94
Br: 0.7433 0.2878 0.0767  1 Ce 2.94
Br: 0.8618 0.6777 0.5631  1 Ce 2.92, 1 In 3.25
Br: 0.8618 0.8223 0.0631  1 Ce 2.92, 1 In 3.25

Values from the calculation:
calculated total energy: -3.663 eV/atom
density: 3.461 g/cm³
Fermi-level density of states: 8.4 states/eV/f.u.
ΔE_f (raw): -1.573 eV per atom
space-group type: P2_1/c
M_tot: 2.00 Bohr magnetons per cell

---

[2]
Crystalline K2CeInBr8 at its relaxed geometry. Source: Alexandria via LeMat-Bulk, functional GGA-PBE.

Unit cell a=7.1602 b=8.8264 c=7.3865 alpha=90.00 beta=93.68 gamma=90.00
Closest atoms and distances in Å follow each position.
Fractional coordinates of all 12 atoms:
K: 0.0000 0.2429 0.0000  6 Br 3.21-3.50
K: 0.0000 0.7571 0.0000  6 Br 3.21-3.50
Ce: 0.5000 0.5000 0.5000  6 Br 2.85-2.99
In: 0.5000 0.0000 0.5000  6 Br 2.62-2.83
Br: 0.2771 0.2378 0.6265  1 In 2.83, 1 Ce 2.99
Br: 0.2767 0.5000 0.1669  1 Ce 2.85
Br: 0.2771 0.7622 0.6265  1 In 2.83, 1 Ce 2.99
Br: 0.3018 0.0000 0.1888  1 In 2.62
Br: 0.6982 0.0000 0.8112  1 In 2.62
Br: 0.7229 0.2378 0.3735  1 In 2.83, 1 Ce 2.99
Br: 0.7233 0.5000 0.8331  1 Ce 2.85
Br: 0.7229 0.7622 0.3735  1 In 2.83, 1 Ce 2.99

Values from the calculation:
calculated total energy: -3.449 eV/atom
density: 3.466 g/cm³
Fermi-level density of states: 8.5 states/eV/f.u.
ΔE_f (raw): -1.428 eV per atom
space-group type: P2/m
M_tot: 1.02 Bohr magnetons per cell

---

[3]
Crystalline KCe2InBr8 at its relaxed geometry. Source: Alexandria via LeMat-Bulk, functional GGA-PBE.

Unit cell a=7.1581 b=9.1096 c=7.5969 alpha=90.00 beta=92.59 gamma=90.00
Closest atoms and distances in Å follow each position.
Fractional coordinates of all 12 atoms:
K: 0.0000 0.0000 0.0000  6 Br 3.26-3.48
Ce: 0.5000 0.2506 0.5000  6 Br 2.86-2.99
Ce: 0.5000 0.7494 0.5000  6 Br 2.86-2.99
In: 0.0000 0.5000 0.0000  6 Br 3.24-3.47
Br: 0.2668 0.2514 0.1840  1 Ce 2.86
Br: 0.2668 0.7486 0.1840  1 Ce 2.86
Br: 0.2794 0.0000 0.6369  2 Ce 2.99
Br: 0.2790 0.5000 0.6378  2 Ce 2.98
Br: 0.7206 0.0000 0.3631  2 Ce 2.99
Br: 0.7210 0.5000 0.3622  2 Ce 2.98
Br: 0.7332 0.2514 0.8160  1 Ce 2.86
Br: 0.7332 0.7486 0.8160  1 Ce 2.86

Values from the calculation:
calculated total energy: -4.019 eV/atom
density: 3.602 g/cm³
Fermi-level density of states: 16.0 states/eV/f.u.
ΔE_f (raw): -1.595 eV per atom
space-group type: P2/m
M_tot: 2.00 Bohr magnetons per cell

---

[4]
Crystalline KCeIn2Br8 at its relaxed geometry. Source: Alexandria via LeMat-Bulk, functional GGA-PBE.

Unit cell a=6.8252 b=9.3695 c=7.1507 alpha=90.00 beta=90.00 gamma=90.00
Closest atoms and distances in Å follow each position.
Fractional coordinates of all 12 atoms:
K: 0.0000 0.0000 0.0000  6 Br 3.25-3.29
Ce: 0.0000 0.5000 0.0000  6 Br 2.86-2.89
In: 0.5000 0.2439 0.5000  6 Br 2.88-3.18
In: 0.5000 0.7561 0.5000  6 Br 2.88-3.18
Br: 0.2349 0.2806 0.8372  1 Ce 2.86, 1 In 3.03
Br: 0.2349 0.7194 0.8372  1 Ce 2.86, 1 In 3.03
Br: 0.2581 0.5000 0.3207  1 Ce 2.89, 2 In 3.18
Br: 0.2887 0.0000 0.3620  2 In 2.88
Br: 0.7113 0.0000 0.6380  2 In 2.88
Br: 0.7419 0.5000 0.6793  1 Ce 2.89, 2 In 3.18
Br: 0.7651 0.2806 0.1628  1 Ce 2.86, 1 In 3.03
Br: 0.7651 0.7194 0.1628  1 Ce 2.86, 1 In 3.03

Values from the calculation:
calculated total energy: -3.370 eV/atom
density: 3.806 g/cm³
Fermi-level density of states: 7.6 states/eV/f.u.
ΔE_f (raw): -1.213 eV per atom
space-group type: P2/m
M_tot: 0.61 Bohr magnetons per cell

---

[5]
Crystalline LiCeInBr6 at its relaxed geometry. Source: Alexandria via LeMat-Bulk, functional GGA-PBE.

Unit cell a=7.2053 b=7.2053 c=14.0917 alpha=90.00 beta=90.00 gamma=120.00
Closest atoms and distances in Å follow each position.
Fractional coordinates of all 18 atoms:
Li: 0.3333 0.6667 0.2500  6 Br 2.79
Li: 0.6667 0.3333 0.7500  6 Br 2.79
Ce: 0.3333 0.6667 0.7500  6 Br 2.81
Ce: 0.6667 0.3333 0.2500  6 Br 2.81
In: 0.0000 0.0000 0.0000  6 Br 3.25
In: 0.0000 0.0000 0.5000  6 Br 3.25
Br: 0.0022 0.3637 0.1367  1 Li 2.79, 1 Ce 2.81
Br: 0.0022 0.6385 0.3633  1 Li 2.79, 1 Ce 2.81
Br: 0.3615 0.3637 0.3633  1 Li 2.79, 1 Ce 2.81
Br: 0.3615 0.9978 0.1367  1 Li 2.79, 1 Ce 2.81
Br: 0.3637 0.0022 0.6367  1 Li 2.79, 1 Ce 2.81
Br: 0.3637 0.3615 0.8633  1 Li 2.79, 1 Ce 2.81
Br: 0.6363 0.6385 0.1367  1 Li 2.79, 1 Ce 2.81
Br: 0.6363 0.9978 0.3633  1 Li 2.79, 1 Ce 2.81
Br: 0.6385 0.0022 0.8633  1 Li 2.79, 1 Ce 2.81
Br: 0.6385 0.6363 0.6367  1 Li 2.79, 1 Ce 2.81
Br: 0.9978 0.3615 0.6367  1 Li 2.79, 1 Ce 2.81
Br: 0.9978 0.6363 0.8633  1 Li 2.79, 1 Ce 2.81

Values from the calculation:
calculated total energy: -3.669 eV/atom
density: 3.886 g/cm³
Fermi-level density of states: 0.4 states/eV/f.u.
ΔE_f (raw): -1.378 eV per atom
space-group type: P-31c
M_tot: 0.19 Bohr magnetons per cell

---

[6]
Crystalline NaCeInBr6 at its relaxed geometry. Source: Alexandria via LeMat-Bulk, functional GGA-PBE.

Unit cell a=7.5219 b=7.5219 c=13.7833 alpha=90.00 beta=90.00 gamma=120.00
Closest atoms and distances in Å follow each position.
Fractional coordinates of all 18 atoms:
Na: 0.3333 0.6667 0.2500  6 Br 3.01
Na: 0.6667 0.3333 0.7500  6 Br 3.01
Ce: 0.3333 0.6667 0.7500  6 Br 2.81
Ce: 0.6667 0.3333 0.2500  6 Br 2.81
In: 0.0000 0.0000 0.0000  6 Br 3.25
In: 0.0000 0.0000 0.5000  6 Br 3.25
Br: 0.0203 0.3673 0.6328  1 Ce 2.81, 1 Na 3.01
Br: 0.0203 0.6529 0.8672  1 Ce 2.81, 1 Na 3.01
Br: 0.3471 0.3673 0.8672  1 Ce 2.81, 1 Na 3.01
Br: 0.3471 0.9797 0.6328  1 Ce 2.81, 1 Na 3.01
Br: 0.3673 0.0203 0.1328  1 Ce 2.81, 1 Na 3.01
Br: 0.3673 0.3471 0.3672  1 Ce 2.81, 1 Na 3.01
Br: 0.6327 0.6529 0.6328  1 Ce 2.81, 1 Na 3.01
Br: 0.6327 0.9797 0.8672  1 Ce 2.81, 1 Na 3.01
Br: 0.6529 0.0203 0.3672  1 Ce 2.81, 1 Na 3.01
Br: 0.6529 0.6327 0.1328  1 Ce 2.81, 1 Na 3.01
Br: 0.9797 0.3471 0.1328  1 Ce 2.81, 1 Na 3.01
Br: 0.9797 0.6327 0.3672  1 Ce 2.81, 1 Na 3.01

Values from the calculation:
calculated total energy: -3.617 eV/atom
density: 3.724 g/cm³
Fermi-level density of states: 0.3 states/eV/f.u.
ΔE_f (raw): -1.391 eV per atom
space-group type: P-31c
M_tot: 0.20 Bohr magnetons per cell